A relaxed Pm5PrY2 crystal, computed with PBE-GGA.

Lattice parameters (Å, degrees): 6.7123 9.0657 9.7391 87.67 83.04 68.28
Last column: nearest neighbours and their distance in Å.
Fractional coordinates of all 16 atoms:
Pm1 0.0257 0.0137 0.3386  3 Pm 3.13-3.18, 1 Y 3.40
Pm2 0.0330 0.7908 0.0491  4 Pm 3.46-3.75, 3 Y 3.57-3.82, 2 Pr 3.73-3.80
Pm3 0.3233 0.2090 0.5470  4 Pm 3.47-3.73, 3 Y 3.56-3.84, 2 Pr 3.73-3.79
Pm4 0.3937 0.7132 0.7516  4 Pm 3.18-3.47, 3 Y 3.42-3.55, 2 Pr 3.54
Pm5 0.4588 0.0112 0.1624  3 Pm 3.15-3.18, 1 Y 3.39
Pm6 0.5412 0.9888 0.8376  3 Pm 3.15-3.18, 1 Y 3.39
Pm7 0.6063 0.2868 0.2484  4 Pm 3.18-3.47, 3 Y 3.42-3.55, 2 Pr 3.54
Pm8 0.6767 0.7910 0.4530  4 Pm 3.47-3.73, 3 Y 3.56-3.84, 2 Pr 3.73-3.79
Pm9 0.9670 0.2092 0.9509  4 Pm 3.46-3.75, 3 Y 3.57-3.82, 2 Pr 3.73-3.80
Pm10 0.9743 0.9863 0.6614  3 Pm 3.13-3.18, 1 Y 3.40
Pr1 0.0387 0.4215 0.2502  4 Y 3.45-3.71, 8 Pm 3.54-3.80
Pr2 0.9613 0.5785 0.7498  4 Y 3.45-3.71, 8 Pm 3.54-3.80
Y1 0.2773 0.6266 0.4233  5 Pm 3.40-3.72, 2 Pr 3.46-3.71, 2 Y 3.49-3.77
Y2 0.4018 0.3751 0.9231  5 Pm 3.39-3.72, 2 Pr 3.45-3.71, 2 Y 3.47-3.77
Y3 0.5982 0.6249 0.0769  5 Pm 3.39-3.72, 2 Pr 3.45-3.71, 2 Y 3.47-3.77
Y4 0.7227 0.3734 0.5767  5 Pm 3.40-3.72, 2 Pr 3.46-3.71, 2 Y 3.49-3.77

formation enthalpy at 0 K	1.0	eV per formula unit
energy above the most stable polymorph in this dataset	107.5	meV/atom